# 1
A relaxed Te2IBr crystal. Source: Alexandria, functional GGA-PBE.

abc: 5.5074 5.5074 5.5074
angles: 60.00 60.00 60.00
Fractional coordinates of all 4 atoms:
I (0.5000, 0.5000, 0.5000)
Te (0.2500, 0.2500, 0.2500)
Te (0.7500, 0.7500, 0.7500)
Br (0.0000, 0.0000, 0.0000)

Values from the calculation:
ΔE_f (raw): 500 meV/atom
Calculated total energy: -1.876 eV per atom
Space group: Fm-3m (225)
Excess energy over the best structure of this formula in the dataset: 236 meV/atom
M_tot: 0.00 μB per formula unit



# 2
A relaxed TeIBr crystal. Source: Alexandria, functional GGA-PBE.

abc: 5.6888 5.5450 11.0523
angles: 112.56 103.07 90.32
Fractional coordinates of all 6 atoms:
Te (0.3506, 0.0905, 0.9622)
Te (0.4889, 0.3439, 0.2768)
I (0.0033, 0.5142, 0.3091)
I (0.8362, 0.9203, 0.9299)
Br (0.5801, 0.2399, 0.4890)
Br (0.2593, 0.1945, 0.7499)

Values from the calculation:
ΔE_f (raw): -90 meV/atom
Calculated total energy: -2.211 eV per atom
Space group: P-1 (2)
Excess energy over the best structure of this formula in the dataset: 16 meV/atom
M_tot: 0.00 μB per formula unit



# 3
A relaxed TeI3Br crystal. Source: Alexandria, functional GGA-PBE.

abc: 9.3134 8.9686 7.7307
angles: 67.62 52.95 58.72
Fractional coordinates of all 10 atoms:
Te (0.8190, 0.7966, 0.4270)
Te (0.3204, 0.8232, 0.3976)
I (0.2366, 0.6318, 0.1894)
I (0.7487, 0.5202, 0.8442)
I (0.3357, 0.9878, 0.6351)
I (0.8038, 0.6318, 0.1895)
I (0.9028, 0.9878, 0.6352)
I (0.3907, 0.0996, 0.9804)
Br (0.3322, 0.5336, 0.6634)
Br (0.8071, 0.0861, 0.1612)

Values from the calculation:
ΔE_f (raw): -111 meV/atom
Calculated total energy: -2.004 eV per atom
Space group: C2/m (12)
Excess energy over the best structure of this formula in the dataset: 34 meV/atom
M_tot: 0.00 μB per formula unit